Nb2MoClO | PBE with a Hubbard U | relaxed

**Total magnetic moment**: 0.8 Bohr magnetons per cell
**Offset from the most stable computed form**: 1394 meV/atom
**Space-group type**: P4/mmm, No. 123
**VASP energy**: -5.15 eV/atom

abc: 4.8623 4.8623 4.6272
angles: 90.00 90.00 90.00
Last column: nearest neighbours and their distance in Å.
Sites, in units of the cell vectors:
Nb1 0.0000 0.5000 0.0000  2 Mo 2.43
Nb2 0.5000 0.0000 0.0000  2 Mo 2.43
Mo1 0.0000 0.0000 0.0000  2 Cl 2.31, 4 Nb 2.43
Cl1 0.0000 0.0000 0.5000  2 Mo 2.31
O1 0.5000 0.5000 0.5000  8 Nb 3.36, 4 Cl 3.44